Crystalline Nb2NiN at its relaxed geometry, computed with PBE.

Output
Total DFT energy (no corrections) (Ha/atom): -0.32992
Space group: No. 194
Calculated volume (Å³ per cell): 107.7
Crystal system: hexagonal

Lattice parameters (Å, degrees): 3.119 3.119 12.779 90.00 90.00 120.00
Atoms (fractional coordinates):
Nb 0.333 0.667 0.095
Nb 0.333 0.667 0.405
Nb 0.667 0.333 0.595
Nb 0.667 0.333 0.905
Ni 0.333 0.667 0.750
Ni 0.667 0.333 0.250
N 0.000 0.000 0.000
N 0.000 0.000 0.500

Crystalline Nb5Ni4N4 at its relaxed geometry, computed with PBE.

Output
Total DFT energy (no corrections) (Ha/atom): -0.30715
Space group: No. 87
Calculated volume (Å³ per cell): 149.1
Crystal system: tetragonal

Lattice parameters (Å, degrees): 7.252 7.252 7.252 92.38 92.38 156.46
Atoms (fractional coordinates):
Nb 0.000 0.000 0.000
Nb 0.306 0.367 0.673
Nb 0.367 0.694 0.061
Nb 0.633 0.306 0.939
Nb 0.694 0.633 0.327
Ni 0.134 0.561 0.695
Ni 0.439 0.134 0.573
Ni 0.561 0.866 0.427
Ni 0.866 0.439 0.305
N 0.048 0.220 0.267
N 0.220 0.952 0.172
N 0.780 0.048 0.828
N 0.952 0.780 0.733

Crystalline Nb2NiN at its relaxed geometry, computed with PBE.

Output
Total DFT energy (no corrections) (Ha/atom): -0.33104
Space group: No. 15
Calculated volume (Å³ per cell): 314.1
Crystal system: monoclinic

Lattice parameters (Å, degrees): 5.271 5.271 13.458 101.34 101.34 59.59
Atoms (fractional coordinates):
Nb 0.046 0.881 0.628
Nb 0.119 0.954 0.872
Nb 0.195 0.362 0.090
Nb 0.298 0.477 0.410
Nb 0.362 0.195 0.590
Nb 0.477 0.298 0.910
Nb 0.523 0.702 0.090
Nb 0.638 0.805 0.410
Nb 0.702 0.523 0.590
Nb 0.805 0.638 0.910
Nb 0.881 0.046 0.128
Nb 0.954 0.119 0.372
Ni 0.087 0.439 0.751
Ni 0.385 0.615 0.250
Ni 0.439 0.087 0.251
Ni 0.561 0.913 0.749
Ni 0.615 0.385 0.750
Ni 0.913 0.561 0.249
N 0.000 0.500 0.500
N 0.150 0.698 0.000
N 0.302 0.850 0.500
N 0.500 0.000 0.000
N 0.698 0.150 0.500
N 0.850 0.302 0.000

Crystalline Nb4NiN3 at its relaxed geometry, computed with PBE.

Output
Total DFT energy (no corrections) (Ha/atom): -0.34994
Space group: No. 194
Calculated volume (Å³ per cell): 195.7
Crystal system: hexagonal

Lattice parameters (Å, degrees): 3.159 3.159 22.645 90.00 90.00 120.00
Atoms (fractional coordinates):
Nb 0.000 0.000 0.165
Nb 0.000 0.000 0.335
Nb 0.000 0.000 0.665
Nb 0.000 0.000 0.835
Nb 0.333 0.667 0.060
Nb 0.333 0.667 0.440
Nb 0.667 0.333 0.560
Nb 0.667 0.333 0.940
Ni 0.333 0.667 0.250
Ni 0.667 0.333 0.750
N 0.000 0.000 0.000
N 0.000 0.000 0.500
N 0.333 0.667 0.615
N 0.333 0.667 0.885
N 0.667 0.333 0.115
N 0.667 0.333 0.385

Crystalline Nb3NiN2 at its relaxed geometry, computed with PBE.

Output
Total DFT energy (no corrections) (Ha/atom): -0.34224
Space group: No. 194
Calculated volume (Å³ per cell): 151.5
Crystal system: hexagonal

Lattice parameters (Å, degrees): 3.090 3.090 18.321 90.00 90.00 120.00
Atoms (fractional coordinates):
Nb 0.000 0.000 0.000
Nb 0.000 0.000 0.500
Nb 0.333 0.667 0.140
Nb 0.333 0.667 0.360
Nb 0.667 0.333 0.640
Nb 0.667 0.333 0.860
Ni 0.000 0.000 0.250
Ni 0.000 0.000 0.750
N 0.333 0.667 0.572
N 0.333 0.667 0.928
N 0.667 0.333 0.072
N 0.667 0.333 0.428

Crystalline Sc2Nb4Ni3N3 at its relaxed geometry, computed with PBE.

Output
Total DFT energy (no corrections) (Ha/atom): -0.31735
Space group: No. 15
Calculated volume (Å³ per cell): 327.1
Crystal system: monoclinic

Lattice parameters (Å, degrees): 5.362 5.362 13.504 101.58 101.58 60.00
Atoms (fractional coordinates):
Sc 0.039 0.877 0.616
Sc 0.123 0.961 0.884
Sc 0.877 0.039 0.116
Sc 0.961 0.123 0.384
Nb 0.194 0.361 0.088
Nb 0.300 0.475 0.412
Nb 0.361 0.194 0.588
Nb 0.475 0.300 0.912
Nb 0.525 0.700 0.088
Nb 0.639 0.806 0.412
Nb 0.700 0.525 0.588
Nb 0.806 0.639 0.912
Ni 0.088 0.398 0.751
Ni 0.398 0.088 0.251
Ni 0.419 0.581 0.250
Ni 0.581 0.419 0.750
Ni 0.602 0.912 0.749
Ni 0.912 0.602 0.249
N 0.000 0.500 0.500
N 0.158 0.684 0.000
N 0.316 0.842 0.500
N 0.500 0.000 0.000
N 0.684 0.158 0.500
N 0.842 0.316 0.000

Crystalline Nb4SiNiN2 at its relaxed geometry, computed with PBE.

Output
Total DFT energy (no corrections) (Ha/atom): -0.33308
Space group: No. 187
Calculated volume (Å³ per cell): 109.3
Crystal system: hexagonal

Lattice parameters (Å, degrees): 3.197 3.197 12.356 90.00 90.00 120.00
Atoms (fractional coordinates):
Nb 0.000 0.000 0.154
Nb 0.000 0.000 0.846
Nb 0.333 0.667 0.346
Nb 0.333 0.667 0.654
Si 0.333 0.667 0.000
Ni 0.000 0.000 0.500
N 0.667 0.333 0.253
N 0.667 0.333 0.747

Crystalline Ta4Nb2Ni3N3 at its relaxed geometry, computed with PBE.

Output
Total DFT energy (no corrections) (Ha/atom): -0.35523
Space group: No. 15
Calculated volume (Å³ per cell): 312.0
Crystal system: monoclinic

Lattice parameters (Å, degrees): 5.248 5.248 13.495 101.27 101.27 59.50
Atoms (fractional coordinates):
Ta 0.021 0.204 0.091
Ta 0.140 0.305 0.409
Ta 0.204 0.021 0.591
Ta 0.305 0.140 0.909
Ta 0.695 0.860 0.091
Ta 0.796 0.979 0.409
Ta 0.860 0.695 0.591
Ta 0.979 0.796 0.909
Nb 0.382 0.546 0.129
Nb 0.454 0.618 0.371
Nb 0.546 0.382 0.629
Nb 0.618 0.454 0.871
Ni 0.068 0.413 0.748
Ni 0.105 0.895 0.750
Ni 0.413 0.068 0.248
Ni 0.587 0.932 0.752
Ni 0.895 0.105 0.250
Ni 0.932 0.587 0.252
N 0.000 0.500 0.000
N 0.190 0.654 0.500
N 0.346 0.810 0.000
N 0.500 0.000 0.500
N 0.654 0.190 0.000
N 0.810 0.346 0.500

Crystalline Y2Nb4Ni3N3 at its relaxed geometry, computed with PBE.

Output
Total DFT energy (no corrections) (Ha/atom): -0.31774
Space group: No. 15
Calculated volume (Å³ per cell): 344.3
Crystal system: monoclinic

Lattice parameters (Å, degrees): 5.469 5.469 13.662 101.66 101.66 60.05
Atoms (fractional coordinates):
Y 0.042 0.877 0.624
Y 0.123 0.958 0.876
Y 0.877 0.042 0.124
Y 0.958 0.123 0.376
Nb 0.193 0.358 0.087
Nb 0.299 0.478 0.413
Nb 0.358 0.193 0.587
Nb 0.478 0.299 0.913
Nb 0.522 0.701 0.087
Nb 0.642 0.807 0.413
Nb 0.701 0.522 0.587
Nb 0.807 0.642 0.913
Ni 0.085 0.409 0.751
Ni 0.409 0.085 0.251
Ni 0.419 0.581 0.250
Ni 0.581 0.419 0.750
Ni 0.591 0.915 0.749
Ni 0.915 0.591 0.249
N 0.000 0.500 0.500
N 0.165 0.671 0.000
N 0.329 0.835 0.500
N 0.500 0.000 0.000
N 0.671 0.165 0.500
N 0.835 0.329 0.000

Crystalline Y4Nb2Ni3N3 at its relaxed geometry, computed with PBE.

Output
Total DFT energy (no corrections) (Ha/atom): -0.29630
Space group: No. 15
Calculated volume (Å³ per cell): 384.6
Crystal system: monoclinic

Lattice parameters (Å, degrees): 5.846 5.846 13.414 102.80 102.80 60.21
Atoms (fractional coordinates):
Y 0.044 0.197 0.112
Y 0.124 0.295 0.388
Y 0.197 0.044 0.612
Y 0.295 0.124 0.888
Y 0.705 0.876 0.112
Y 0.803 0.956 0.388
Y 0.876 0.705 0.612
Y 0.956 0.803 0.888
Nb 0.353 0.526 0.079
Nb 0.474 0.647 0.421
Nb 0.526 0.353 0.579
Nb 0.647 0.474 0.921
Ni 0.183 0.580 0.251
Ni 0.345 0.655 0.750
Ni 0.420 0.817 0.249
Ni 0.580 0.183 0.751
Ni 0.655 0.345 0.250
Ni 0.817 0.420 0.749
N 0.000 0.500 0.000
N 0.178 0.661 0.500
N 0.339 0.822 0.000
N 0.500 0.000 0.500
N 0.661 0.178 0.000
N 0.822 0.339 0.500

Crystalline Nb4ZnNiN2 at its relaxed geometry, computed with PBE.

Output
Total DFT energy (no corrections) (Ha/atom): -0.31206
Space group: No. 187
Calculated volume (Å³ per cell): 111.5
Energy relative to the lowest polymorph listed for this composition (eV per atom): 0.000
Crystal system: hexagonal

Lattice parameters (Å, degrees): 3.132 3.132 13.120 90.00 90.00 120.00
Atoms (fractional coordinates):
Nb 0.000 0.000 0.149
Nb 0.000 0.000 0.851
Nb 0.667 0.333 0.333
Nb 0.667 0.333 0.667
Zn 0.000 0.000 0.500
Ni 0.667 0.333 0.000
N 0.333 0.667 0.241
N 0.333 0.667 0.759

Crystalline Zr4Nb2Ni3N3 at its relaxed geometry, computed with PBE.

Output
Total DFT energy (no corrections) (Ha/atom): -0.32050
Space group: No. 15
Calculated volume (Å³ per cell): 350.2
Crystal system: monoclinic

Lattice parameters (Å, degrees): 5.653 5.653 13.478 102.37 102.37 56.95
Atoms (fractional coordinates):
Zr 0.044 0.198 0.102
Zr 0.140 0.297 0.396
Zr 0.198 0.044 0.602
Zr 0.297 0.140 0.896
Zr 0.703 0.860 0.104
Zr 0.802 0.956 0.398
Zr 0.860 0.703 0.604
Zr 0.956 0.802 0.898
Nb 0.372 0.521 0.088
Nb 0.479 0.628 0.412
Nb 0.521 0.372 0.588
Nb 0.628 0.479 0.912
Ni 0.091 0.909 0.750
Ni 0.351 0.375 0.750
Ni 0.375 0.351 0.250
Ni 0.625 0.649 0.750
Ni 0.649 0.625 0.250
Ni 0.909 0.091 0.250
N 0.000 0.500 0.000
N 0.159 0.668 0.499
N 0.332 0.841 0.001
N 0.500 0.000 0.500
N 0.668 0.159 0.999
N 0.841 0.332 0.501

Crystalline NbOsNO at its relaxed geometry, computed with PBE.

Output
Total DFT energy (no corrections) (Ha/atom): -0.33706
Space group: No. 26
Calculated volume (Å³ per cell): 95.6
Energy relative to the lowest polymorph listed for this composition (eV per atom): 0.134
Crystal system: orthorhombic

Lattice parameters (Å, degrees): 2.905 4.851 6.787 90.00 90.00 90.00
Atoms (fractional coordinates):
Nb 0.000 0.186 0.000
Nb 0.000 0.814 0.500
Os 0.500 0.302 0.492
Os 0.500 0.698 0.992
N 0.000 0.162 0.309
N 0.000 0.838 0.809
O 0.500 0.334 0.801
O 0.500 0.666 0.301

Crystalline NbOsNO at its relaxed geometry, computed with PBE.

Output
Total DFT energy (no corrections) (Ha/atom): -0.32173
Space group: No. 129
Calculated volume (Å³ per cell): 86.7
Energy relative to the lowest polymorph listed for this composition (eV per atom): 0.551
Crystal system: tetragonal

Lattice parameters (Å, degrees): 4.179 4.179 4.966 90.00 90.00 90.00
Atoms (fractional coordinates):
Nb 0.250 0.750 0.000
Nb 0.750 0.250 0.000
Os 0.250 0.250 0.415
Os 0.750 0.750 0.585
N 0.250 0.250 0.853
N 0.750 0.750 0.147
O 0.250 0.750 0.500
O 0.750 0.250 0.500

Crystalline NbOsNO at its relaxed geometry, computed with PBE.

Output
Total DFT energy (no corrections) (Ha/atom): -0.32833
Space group: No. 129
Calculated volume (Å³ per cell): 90.8
Energy relative to the lowest polymorph listed for this composition (eV per atom): 0.371
Crystal system: tetragonal

Lattice parameters (Å, degrees): 3.806 3.806 6.270 90.00 90.00 90.00
Atoms (fractional coordinates):
Nb 0.250 0.250 0.149
Nb 0.750 0.750 0.851
Os 0.250 0.750 0.500
Os 0.750 0.250 0.500
N 0.250 0.250 0.670
N 0.750 0.750 0.330
O 0.250 0.750 0.000
O 0.750 0.250 0.000

Crystalline NbOsNO at its relaxed geometry, computed with PBE.

Output
Total DFT energy (no corrections) (Ha/atom): -0.34198
Space group: No. 26
Calculated volume (Å³ per cell): 110.5
Energy relative to the lowest polymorph listed for this composition (eV per atom): 0.000
Crystal system: orthorhombic

Lattice parameters (Å, degrees): 3.574 6.152 5.025 90.00 90.00 90.00
Atoms (fractional coordinates):
Nb 0.000 0.220 0.000
Nb 0.000 0.780 0.500
Os 0.500 0.448 0.506
Os 0.500 0.552 0.006
N 0.500 0.246 0.809
N 0.500 0.754 0.309
O 0.000 0.092 0.340
O 0.000 0.908 0.840

Crystalline PaNbNO at its relaxed geometry, computed with PBE.

Output
Total DFT energy (no corrections) (Ha/atom): -0.33320
Space group: No. 26
Calculated volume (Å³ per cell): 127.7
Energy relative to the lowest polymorph listed for this composition (eV per atom): 0.122
Crystal system: orthorhombic

Lattice parameters (Å, degrees): 3.589 5.857 6.075 90.00 90.00 90.00
Atoms (fractional coordinates):
Pa 0.000 0.168 0.000
Pa 0.000 0.832 0.500
Nb 0.500 0.284 0.478
Nb 0.500 0.716 0.978
N 0.000 0.223 0.640
N 0.000 0.777 0.140
O 0.500 0.369 0.140
O 0.500 0.631 0.640

Crystalline PaNbNO at its relaxed geometry, computed with PBE.

Output
Total DFT energy (no corrections) (Ha/atom): -0.33459
Space group: No. 26
Calculated volume (Å³ per cell): 129.0
Energy relative to the lowest polymorph listed for this composition (eV per atom): 0.084
Crystal system: orthorhombic

Lattice parameters (Å, degrees): 3.460 5.872 6.350 90.00 90.00 90.00
Atoms (fractional coordinates):
Pa 0.000 0.170 0.000
Pa 0.000 0.830 0.500
Nb 0.500 0.323 0.458
Nb 0.500 0.677 0.958
N 0.500 0.370 0.150
N 0.500 0.630 0.650
O 0.000 0.188 0.646
O 0.000 0.812 0.146

Crystalline PaNbNO at its relaxed geometry, computed with PBE.

Output
Total DFT energy (no corrections) (Ha/atom): -0.33523
Space group: No. 129
Calculated volume (Å³ per cell): 116.8
Energy relative to the lowest polymorph listed for this composition (eV per atom): 0.067
Crystal system: tetragonal

Lattice parameters (Å, degrees): 3.733 3.733 8.383 90.00 90.00 90.00
Atoms (fractional coordinates):
Pa 0.250 0.250 0.170
Pa 0.750 0.750 0.830
Nb 0.250 0.750 0.500
Nb 0.750 0.250 0.500
N 0.250 0.250 0.675
N 0.750 0.750 0.325
O 0.250 0.750 0.000
O 0.750 0.250 0.000